# 1
The following is a PBE-GGA calculation of crystalline Tl2CdTe4 at its relaxed geometry, from OQMD.

Lattice parameters (Å, degrees): 7.889 7.889 7.889 132.26 132.26 69.82
Element x y z (fractional)
Tl 0.000 0.000 0.000
Tl 0.750 0.250 0.500
Cd 0.500 0.500 0.000
Te 0.148 0.082 0.506
Te 0.358 0.852 0.934
Te 0.576 0.642 0.494
Te 0.918 0.424 0.066

Values from the calculation:
Calculated volume: 37.68 A^3/atom
Electronic total energy: -19.51 eV/f.u.
Space-group type: No. 82



# 2
The following is a PBE-GGA calculation of crystalline Sr2Mg4IrAu at its relaxed geometry, from OQMD.

Lattice parameters (Å, degrees): 6.167 12.418 12.418 18.99 90.00 90.00
Element x y z (fractional)
Sr 0.000 0.000 0.000
Sr 0.000 0.171 0.171
Mg 0.251 0.868 0.868
Mg 0.257 0.285 0.285
Mg 0.743 0.285 0.285
Mg 0.749 0.868 0.868
Ir 0.000 0.770 0.770
Au 0.000 0.406 0.406

Values from the calculation:
Calculated volume: 38.69 A^3/atom
Electronic total energy: -21.43 eV/f.u.
Space-group type: No. 38



# 3
The following is a PBE-GGA calculation of crystalline Pr3OF at its relaxed geometry, from OQMD.

Lattice parameters (Å, degrees): 6.651 6.651 5.742 90.00 90.00 120.00
Element x y z (fractional)
Pr 0.028 0.350 0.250
Pr 0.028 0.678 0.750
Pr 0.322 0.350 0.750
Pr 0.322 0.972 0.250
Pr 0.650 0.678 0.250
Pr 0.650 0.972 0.750
O 0.333 0.667 0.000
O 0.333 0.667 0.500
F 0.000 0.000 0.000
F 0.000 0.000 0.500

Values from the calculation:
Calculated volume: 22.00 A^3/atom
Electronic total energy: -31.07 eV/f.u.
Space-group type: No. 188



# 4
The following is a PBE-GGA calculation of crystalline ZnCuBiIr at its relaxed geometry, from OQMD.

Lattice parameters (Å, degrees): 4.602 4.602 4.602 60.00 60.00 60.00
Element x y z (fractional)
Zn 0.000 0.000 0.000
Cu 0.250 0.250 0.250
Bi 0.500 0.500 0.500
Ir 0.750 0.750 0.750

Values from the calculation:
Calculated volume: 17.23 A^3/atom
Electronic total energy: -16.95 eV/f.u.
Space-group type: No. 216



# 5
The following is a PBE-GGA calculation of crystalline Ni9As at its relaxed geometry, from OQMD.

Lattice parameters (Å, degrees): 2.513 3.478 37.778 90.00 90.00 90.00
Element x y z (fractional)
Ni 0.250 0.250 0.016
Ni 0.250 0.250 0.081
Ni 0.250 0.250 0.147
Ni 0.250 0.250 0.212
Ni 0.250 0.250 0.280
Ni 0.250 0.250 0.755
Ni 0.250 0.250 0.820
Ni 0.250 0.250 0.886
Ni 0.250 0.250 0.951
Ni 0.750 0.750 0.049
Ni 0.750 0.750 0.114
Ni 0.750 0.750 0.180
Ni 0.750 0.750 0.245
Ni 0.750 0.750 0.720
Ni 0.750 0.750 0.788
Ni 0.750 0.750 0.853
Ni 0.750 0.750 0.919
Ni 0.750 0.750 0.984
As 0.250 0.250 0.689
As 0.750 0.750 0.311

Values from the calculation:
Calculated volume: 16.51 A^3/atom
Electronic total energy: -54.69 eV/f.u.
Space-group type: No. 59



# 6
The following is a PBE-GGA calculation of crystalline KRbPaTe3 at its relaxed geometry, from OQMD.

Lattice parameters (Å, degrees): 11.654 11.654 13.026 90.00 90.00 156.98
Element x y z (fractional)
K 0.104 0.896 0.750
K 0.896 0.104 0.250
Rb 0.126 0.874 0.250
Rb 0.874 0.126 0.750
Pa 0.500 0.500 0.000
Pa 0.500 0.500 0.500
Te 0.090 0.910 0.502
Te 0.090 0.910 0.998
Te 0.494 0.506 0.750
Te 0.506 0.494 0.250
Te 0.910 0.090 0.002
Te 0.910 0.090 0.498

Values from the calculation:
Calculated volume: 57.65 A^3/atom
Electronic total energy: -26.09 eV/f.u.
Space-group type: No. 63